Below is crystalline Ac2CrB12Os3 at its relaxed geometry, with properties calculated at the GGA-PBE level.

Cell lengths 8.3439, 8.3439, 8.3439 Å; angles 56.31, 56.31, 56.31 degrees
With the nearest neighbours (Å) after each atom.
Positions (direct):
B  0.9977  0.2467  0.9977  4 B 1.82-1.96
B  0.2489  0.9166  0.2489  2 B 1.82
B  0.7511  0.7511  0.0834  2 B 1.82
B  0.9166  0.2489  0.2489  2 B 1.82
B  0.0834  0.7511  0.7511  2 B 1.82
B  0.2489  0.2489  0.9166  2 B 1.82
B  0.0023  0.0023  0.7533  4 B 1.82-1.96
B  0.7533  0.0023  0.0023  4 B 1.82-1.96
B  0.0023  0.7533  0.0023  4 B 1.82-1.96
B  0.2467  0.9977  0.9977  4 B 1.82-1.96
B  0.7511  0.0834  0.7511  2 B 1.82
B  0.9977  0.9977  0.2467  4 B 1.82-1.96
Os  0.0000  0.5000  0.0000  6 B 2.09-2.13
Os  0.0000  0.0000  0.5000  6 B 2.09-2.13
Os  0.5000  0.0000  0.0000  6 B 2.09-2.13
Ac  0.2650  0.2650  0.2650  6 B 3.06-3.42, 3 Os 3.07
Ac  0.7350  0.7350  0.7350  6 B 3.06-3.42, 3 Os 3.07
Cr  0.0000  0.0000  0.0000  6 B 2.04

Results
crystal system	trigonal
theoretical density	5.33	g/cm3
DFT total energy	-6.775	eV per atom
formation energy from the elements	0.54	eV/atom
space group	R-3m
N(E_F)	5.56	states/eV/cell


Below is crystalline CsAcB12 at its relaxed geometry, with properties calculated at the GGA-PBE level.

Cell lengths 6.0539, 6.0539, 6.0539 Å; angles 60.00, 60.00, 60.00 degrees
With the nearest neighbours (Å) after each atom.
Positions (direct):
B  0.8974  0.6026  0.8974  5 B 1.76-1.78
B  0.1026  0.1026  0.3974  5 B 1.76-1.78
B  0.3974  0.1026  0.3974  5 B 1.76-1.78
B  0.1026  0.3974  0.1026  5 B 1.76-1.78
B  0.6026  0.6026  0.8974  5 B 1.76-1.78
B  0.3974  0.3974  0.1026  5 B 1.76-1.78
B  0.8974  0.8974  0.6026  5 B 1.76-1.78
B  0.1026  0.3974  0.3974  5 B 1.76-1.78
B  0.8974  0.6026  0.6026  5 B 1.76-1.78
B  0.3974  0.1026  0.1026  5 B 1.76-1.78
B  0.6026  0.8974  0.8974  5 B 1.76-1.78
B  0.6026  0.8974  0.6026  5 B 1.76-1.78
Ac  0.5000  0.5000  0.5000  24 B 3.15
Cs  0.0000  0.0000  0.0000  24 B 3.15

Results
crystal system	cubic
theoretical density	5.18	g/cm3
DFT total energy	-6.338	eV per atom
formation energy from the elements	-0.26	eV/atom
space group	Fm-3m
N(E_F)	1.38	states/eV/cell